A plane-wave DFT calculation with PBE was carried out for crystalline PmYHg at its relaxed geometry.

Cell: 7.2958 7.2958 7.2958 Å, 90.00 90.00 90.00°
Closest atoms and distances in Å follow each position.
Space group F-43m (No. 216)
Unique sites:
Pm: 0.0000 0.0000 0.0000 [4 per cell]  4 Hg 3.16
Y: 0.0000 0.0000 0.5000 [4 per cell]  4 Hg 3.16
Hg: 0.2500 0.2500 0.2500 [4 per cell]  4 Pm 3.16, 4 Y 3.16

Energy relative to the elements   -0.12 eV per atom
Magnetic moment   0.50 μB per cell
Uncorrected energy   -3.951 eV per atom